Here is crystalline BaReNiO6 at its relaxed geometry from the Alexandria database. Energies are from PBE+U.

VASP energy: -6.8816 eV per atom
V: 15.0 Å³ per atom

abc: 5.3263 8.8907 5.7130
angles: 90.00 92.19 90.00
Space group C2 (No. 5)
One atom of each set of equivalent atoms:
1 Ba 0.0000 0.0000 0.0000 (multiplicity 2)
2 Re 0.0000 0.3423 0.5000 (multiplicity 2)
3 Ni 0.0000 0.6794 0.5000 (multiplicity 2)
4 O 0.1071 0.5163 0.6865 (multiplicity 4)
5 O 0.1760 0.2224 0.7115 (multiplicity 4)
6 O 0.2015 0.8238 0.6747 (multiplicity 4)